Entry 1:
Crystalline YFe6Co5W at its relaxed geometry. Source: Alexandria, functional GGA-PBE.

a = 4.679 Å, b = 8.407 Å, c = 8.454 Å
α = 90.00°, β = 90.00°, γ = 90.00°
Space group Imm2 (No. 44)
Asymmetric unit:
Y1 0.000 0.000 0.000 [2 per cell]
Fe1 0.000 0.500 0.276 [2 per cell]
Fe2 0.000 0.500 0.728 [2 per cell]
Fe3 0.250 0.249 0.752 [8 per cell]
Co1 0.000 0.000 0.654 [2 per cell]
Co2 0.000 0.276 0.504 [4 per cell]
Co3 0.000 0.359 0.004 [4 per cell]
W1 0.000 0.000 0.374 [2 per cell]

Results
Formation energy (eV/atom): -0.029
VASP energy (eV per atom): -8.16
Total moment (μB per atom): 1.41

***

Entry 2:
Crystalline YFe3Co at its relaxed geometry. Source: Alexandria, functional GGA-PBE.

a = 4.416 Å, b = 4.416 Å, c = 4.416 Å
α = 90.00°, β = 90.00°, γ = 90.00°
Space group Pm-3m (No. 221)
Asymmetric unit:
Y1 0.000 0.000 0.000 [1 per cell]
Fe1 0.000 0.500 0.500 [3 per cell]
Co1 0.500 0.500 0.500 [1 per cell]

Results
Formation energy (eV/atom): 0.463
VASP energy (eV per atom): -7.33
Total moment (μB per atom): 1.82

***

Entry 3:
Crystalline YFeCo2 at its relaxed geometry. Source: Alexandria, functional GGA-PBE.

a = 3.083 Å, b = 3.082 Å, c = 6.355 Å
α = 90.00°, β = 90.11°, γ = 90.00°
Space group P2/m (No. 10)
Asymmetric unit:
Y1 0.000 0.000 0.000 [1 per cell]
Fe1 0.000 0.000 0.500 [1 per cell]
Co1 0.500 0.500 0.299 [2 per cell]

Results
Formation energy (eV/atom): 0.070
VASP energy (eV per atom): -7.21
Total moment (μB per atom): 1.33

***

Entry 4:
Crystalline YFeCo at its relaxed geometry. Source: Alexandria, functional GGA-PBE.

a = 6.203 Å, b = 6.203 Å, c = 6.203 Å
α = 90.00°, β = 90.00°, γ = 90.00°
Space group F-43m (No. 216)
Asymmetric unit:
Y1 0.000 0.000 0.000 [4 per cell]
Fe1 0.250 0.250 0.250 [4 per cell]
Co1 0.250 0.250 0.750 [4 per cell]

Results
Formation energy (eV/atom): 1.069
VASP energy (eV per atom): -6.28
Total moment (μB per atom): 1.00

***

Entry 5:
Crystalline YFeCo2 at its relaxed geometry. Source: Alexandria, functional GGA-PBE.

a = 4.0122 Å, b = 4.0122 Å, c = 14.4057 Å
α = 90.00°, β = 90.00°, γ = 120.00°
Space group R3m (No. 160, hexagonal axes)
Asymmetric unit:
Y1 0.0000 0.0000 0.0000 [3 per cell]
Fe1 0.0000 0.0000 0.8042 [3 per cell]
Co1 0.0000 0.0000 0.1924 [3 per cell]
Co2 0.0000 0.0000 0.5054 [3 per cell]

Results
Formation energy (eV/atom): -0.039
VASP energy (eV per atom): -7.32
Total moment (μB per atom): 1.15

***

Entry 6:
Crystalline YFe3Co at its relaxed geometry. Source: Alexandria, functional GGA-PBE.

a = 4.602 Å, b = 4.602 Å, c = 4.602 Å
α = 90.00°, β = 90.00°, γ = 90.00°
Space group Pm-3m (No. 221)
Asymmetric unit:
Y1 0.000 0.000 0.000 [1 per cell]
Fe1 0.000 0.000 0.500 [3 per cell]
Co1 0.500 0.500 0.500 [1 per cell]

Results
Formation energy (eV/atom): 2.114
VASP energy (eV per atom): -5.68
Total moment (μB per atom): 1.70

***

Entry 7:
Crystalline YFe6Co6 at its relaxed geometry. Source: Alexandria, functional GGA-PBE.

a = 4.739 Å, b = 8.298 Å, c = 8.345 Å
α = 90.00°, β = 90.00°, γ = 90.00°
Space group Immm (No. 71)
Asymmetric unit:
Y1 0.000 0.000 0.000 [2 per cell]
Fe1 0.000 0.000 0.358 [4 per cell]
Fe2 0.000 0.357 0.000 [4 per cell]
Fe3 0.000 0.500 0.277 [4 per cell]
Co1 0.000 0.271 0.500 [4 per cell]
Co2 0.250 0.250 0.250 [8 per cell]

Results
Formation energy (eV/atom): -0.082
VASP energy (eV per atom): -7.77
Total moment (μB per atom): 1.85

***

Entry 8:
Crystalline YFeCo2 at its relaxed geometry. Source: Alexandria, functional GGA-PBE.

a = 3.242 Å, b = 3.811 Å, c = 5.451 Å
α = 90.00°, β = 107.14°, γ = 90.00°
Space group Pm (No. 6)
Asymmetric unit:
Y1 0.000 0.000 0.000 [1 per cell]
Fe1 0.292 0.500 0.587 [1 per cell]
Co1 0.619 0.500 0.239 [1 per cell]
Co2 0.741 0.000 0.488 [1 per cell]

Results
Formation energy (eV/atom): 0.168
VASP energy (eV per atom): -7.12
Total moment (μB per atom): 1.26

***

Entry 9:
Crystalline YFeCo2 at its relaxed geometry. Source: Alexandria, functional GGA-PBE.

a = 3.191 Å, b = 4.330 Å, c = 8.764 Å
α = 90.00°, β = 90.00°, γ = 90.00°
Space group Imm2 (No. 44)
Asymmetric unit:
Y1 0.000 0.000 0.000 [2 per cell]
Fe1 0.000 0.500 0.227 [2 per cell]
Co1 0.000 0.000 0.502 [2 per cell]
Co2 0.000 0.500 0.768 [2 per cell]

Results
Formation energy (eV/atom): 0.180
VASP energy (eV per atom): -7.11
Total moment (μB per atom): 1.31

***

Entry 10:
Crystalline Y3Fe7Co2 at its relaxed geometry. Source: Alexandria, functional GGA-PBE.

a = 5.1028 Å, b = 5.1028 Å, c = 24.4253 Å
α = 90.00°, β = 90.00°, γ = 120.00°
Space group R-3m (No. 166, hexagonal axes)
Asymmetric unit:
Y1 0.0000 0.0000 0.0000 [3 per cell]
Y2 0.0000 0.0000 0.1420 [6 per cell]
Fe1 0.0000 0.0000 0.5000 [3 per cell]
Fe2 0.0015 0.5007 0.0810 [18 per cell]
Co1 0.0000 0.0000 0.3323 [6 per cell]

Results
Formation energy (eV/atom): -0.091
VASP energy (eV per atom): -7.83
Total moment (μB per atom): 1.41

***

Entry 11:
Crystalline YFeCo2 at its relaxed geometry. Source: Alexandria, functional GGA-PBE.

a = 4.387 Å, b = 4.387 Å, c = 15.606 Å
α = 90.00°, β = 90.00°, γ = 90.00°
Space group I-42d (No. 122)
Asymmetric unit:
Y1 0.000 0.000 0.000 [4 per cell]
Fe1 0.000 0.000 0.500 [4 per cell]
Co1 0.023 0.250 0.625 [8 per cell]

Results
Formation energy (eV/atom): 0.351
VASP energy (eV per atom): -6.93
Total moment (μB per atom): 1.14

***

Entry 12:
Crystalline YFeCo2 at its relaxed geometry. Source: Alexandria, functional GGA-PBE.

a = 3.0730 Å, b = 3.0730 Å, c = 23.3364 Å
α = 90.00°, β = 90.00°, γ = 120.00°
Space group R-3m (No. 166, hexagonal axes)
Asymmetric unit:
Y1 0.0000 0.0000 0.0000 [3 per cell]
Fe1 0.0000 0.0000 0.5000 [3 per cell]
Co1 0.0000 0.0000 0.2384 [6 per cell]

Results
Formation energy (eV/atom): 0.488
VASP energy (eV per atom): -6.80
Total moment (μB per atom): 1.40